Entry 1:
This record from the Alexandria database describes PaBePd after structural relaxation. The functional is PBE-GGA.

Geometry as CIF:
```
data_PaBePd
_chemical_formula_sum 'Pa1 Be1 Pd1'
_cell_length_a 4.3252
_cell_length_b 4.3252
_cell_length_c 3.2624
_cell_angle_alpha 90.00
_cell_angle_beta 90.00
_cell_angle_gamma 120.00
_space_group_name_H-M_alt 'P 1'
_space_group_IT_number 1
_space_group_name_Hall 'P 1'
loop_
_atom_site_label
_atom_site_fract_x
_atom_site_fract_y
_atom_site_fract_z
Pa1 0.0000 0.0000 0.0000
Be1 0.3333 0.6667 0.5000
Pd1 0.6667 0.3333 0.5000
```

Computed properties:
Crystal system   hexagonal
Distance to the lowest polymorph of the same formula   0 kJ/mol of formula units
ΔE_f   -0.3109 eV/atom


Entry 2:
This record from the Alexandria database describes K2Na2RuO6 after structural relaxation. The functional is PBE-GGA.

Geometry as CIF:
```
data_K2Na2RuO6
_chemical_formula_sum 'K2 Na2 Ru1 O6'
_cell_length_a 5.6914
_cell_length_b 5.6914
_cell_length_c 6.3863
_cell_angle_alpha 100.12
_cell_angle_beta 100.12
_cell_angle_gamma 116.64
_space_group_name_H-M_alt 'P 1'
_space_group_IT_number 1
_space_group_name_Hall 'P 1'
loop_
_atom_site_label
_atom_site_fract_x
_atom_site_fract_y
_atom_site_fract_z
K1 0.1804 0.8196 0.0000
K2 0.8196 0.1804 0.0000
Na1 0.3414 0.6586 0.5000
Na2 0.6586 0.3414 0.5000
Ru1 0.0000 0.0000 0.5000
O1 0.0556 0.3327 0.6817
O2 0.1964 0.1964 0.3202
O3 0.3327 0.0556 0.6817
O4 0.6673 0.9444 0.3183
O5 0.8036 0.8036 0.6798
O6 0.9444 0.6673 0.3183
```

Computed properties:
Crystal system   monoclinic
Raw formation energy   -1.17 eV per atom


Entry 3:
This record from the Alexandria database describes MnNbTe2 after structural relaxation. The functional is PBE-GGA.

Geometry as CIF:
```
data_MnNbTe2
_chemical_formula_sum 'Mn3 Nb3 Te6'
_cell_length_a 3.3497
_cell_length_b 3.3497
_cell_length_c 27.1466
_cell_angle_alpha 90.00
_cell_angle_beta 90.00
_cell_angle_gamma 120.00
_space_group_name_H-M_alt 'P 1'
_space_group_IT_number 1
_space_group_name_Hall 'P 1'
loop_
_atom_site_label
_atom_site_fract_x
_atom_site_fract_y
_atom_site_fract_z
Mn1 0.0000 0.0000 0.0000
Mn2 0.3333 0.6667 0.6667
Mn3 0.6667 0.3333 0.3333
Nb1 0.0000 0.0000 0.5000
Nb2 0.3333 0.6667 0.1667
Nb3 0.6667 0.3333 0.8333
Te1 0.0000 0.0000 0.3975
Te2 0.0000 0.0000 0.6025
Te3 0.3333 0.6667 0.0642
Te4 0.3333 0.6667 0.2691
Te5 0.6667 0.3333 0.7309
Te6 0.6667 0.3333 0.9358
```

Computed properties:
Crystal system   trigonal
Distance to the lowest polymorph of the same formula   279 kJ/mol of formula units
Raw formation energy   0.39 eV per atom


Entry 4:
This record from the Alexandria database describes Sm4GaAuO after structural relaxation. The functional is PBE-GGA.

Geometry as CIF:
```
data_Sm4GaAuO
_chemical_formula_sum 'Sm8 Ga2 Au2 O2'
_cell_length_a 8.2488
_cell_length_b 8.2488
_cell_length_c 6.8003
_cell_angle_alpha 90.00
_cell_angle_beta 90.00
_cell_angle_gamma 131.31
_space_group_name_H-M_alt 'P 1'
_space_group_IT_number 1
_space_group_name_Hall 'P 1'
loop_
_atom_site_label
_atom_site_fract_x
_atom_site_fract_y
_atom_site_fract_z
Sm1 0.0000 0.5000 0.0000
Sm2 0.0000 0.5000 0.5000
Sm3 0.0671 0.9329 0.7500
Sm4 0.4291 0.5709 0.7500
Sm5 0.5000 0.0000 0.0000
Sm6 0.5000 0.0000 0.5000
Sm7 0.5709 0.4291 0.2500
Sm8 0.9329 0.0671 0.2500
Ga1 0.3757 0.6243 0.2500
Ga2 0.6243 0.3757 0.7500
Au1 0.1204 0.8796 0.2500
Au2 0.8796 0.1204 0.7500
O1 0.2540 0.7460 0.7500
O2 0.7460 0.2540 0.2500
```

Computed properties:
Crystal system   orthorhombic
Raw formation energy   -1.19 eV per atom


Entry 5:
This record from the Alexandria database describes ThTc2 after structural relaxation. The functional is PBE-GGA.

Geometry as CIF:
```
data_ThTc2
_chemical_formula_sum 'Th2 Tc4'
_cell_length_a 5.4963
_cell_length_b 5.4963
_cell_length_c 5.4963
_cell_angle_alpha 60.00
_cell_angle_beta 60.00
_cell_angle_gamma 60.00
_space_group_name_H-M_alt 'P 1'
_space_group_IT_number 1
_space_group_name_Hall 'P 1'
loop_
_atom_site_label
_atom_site_fract_x
_atom_site_fract_y
_atom_site_fract_z
Th1 0.1250 0.1250 0.1250
Th2 0.8750 0.8750 0.8750
Tc1 0.0000 0.5000 0.5000
Tc2 0.5000 0.0000 0.5000
Tc3 0.5000 0.5000 0.0000
Tc4 0.5000 0.5000 0.5000
```

Computed properties:
Crystal system   cubic
Distance to the lowest polymorph of the same formula   16 kJ/mol of formula units
ΔE_f   -0.0761 eV/atom


Entry 6:
This record from the Alexandria database describes K2MnAuBr6 after structural relaxation. The functional is PBE-GGA.

Geometry as CIF:
```
data_K2MnAuBr6
_chemical_formula_sum 'K2 Mn1 Au1 Br6'
_cell_length_a 7.1621
_cell_length_b 7.1881
_cell_length_c 8.2584
_cell_angle_alpha 94.08
_cell_angle_beta 112.91
_cell_angle_gamma 117.48
_space_group_name_H-M_alt 'P 1'
_space_group_IT_number 1
_space_group_name_Hall 'P 1'
loop_
_atom_site_label
_atom_site_fract_x
_atom_site_fract_y
_atom_site_fract_z
K1 0.0022 0.2205 0.2347
K2 0.9978 0.7795 0.7653
Mn1 0.5000 0.5000 0.0000
Au1 0.5000 0.0000 0.5000
Br1 0.0665 0.3288 0.8531
Br2 0.3919 0.2262 0.6340
Br3 0.4689 0.2140 0.1501
Br4 0.5311 0.7860 0.8499
Br5 0.6081 0.7738 0.3660
Br6 0.9335 0.6712 0.1469
```

Computed properties:
Crystal system   triclinic
Raw formation energy   -0.99 eV per atom


Entry 7:
This record from the Alexandria database describes YHIN2 after structural relaxation. The functional is PBE-GGA.

Geometry as CIF:
```
data_YHIN2
_chemical_formula_sum 'Y1 H1 I1 N2'
_cell_length_a 4.3902
_cell_length_b 4.3902
_cell_length_c 3.5293
_cell_angle_alpha 90.00
_cell_angle_beta 90.00
_cell_angle_gamma 90.00
_space_group_name_H-M_alt 'P 1'
_space_group_IT_number 1
_space_group_name_Hall 'P 1'
loop_
_atom_site_label
_atom_site_fract_x
_atom_site_fract_y
_atom_site_fract_z
Y1 0.0000 0.0000 0.0000
H1 0.5000 0.5000 0.5000
I1 0.5000 0.5000 0.0000
N1 0.0000 0.5000 0.5000
N2 0.5000 0.0000 0.5000
```

Computed properties:
Crystal system   tetragonal
Final energy   -4.55 eV/atom


Entry 8:
This record from the Alexandria database describes Cs2NpMnTe4 after structural relaxation. The functional is PBE-GGA.

Geometry as CIF:
```
data_Cs2NpMnTe4
_chemical_formula_sum 'Cs4 Np2 Mn2 Te8'
_cell_length_a 9.2729
_cell_length_b 9.2729
_cell_length_c 7.7545
_cell_angle_alpha 90.00
_cell_angle_beta 90.00
_cell_angle_gamma 90.00
_space_group_name_H-M_alt 'P 1'
_space_group_IT_number 1
_space_group_name_Hall 'P 1'
loop_
_atom_site_label
_atom_site_fract_x
_atom_site_fract_y
_atom_site_fract_z
Cs1 0.0000 0.5000 0.0000
Cs2 0.0000 0.5000 0.5000
Cs3 0.5000 0.0000 0.0000
Cs4 0.5000 0.0000 0.5000
Np1 0.0000 0.0000 0.0000
Np2 0.5000 0.5000 0.5000
Mn1 0.0000 0.0000 0.5000
Mn2 0.5000 0.5000 0.0000
Te1 0.1587 0.1587 0.2757
Te2 0.1587 0.8413 0.7243
Te3 0.3413 0.3413 0.7757
Te4 0.3413 0.6587 0.2243
Te5 0.6587 0.3413 0.2243
Te6 0.6587 0.6587 0.7757
Te7 0.8413 0.1587 0.7243
Te8 0.8413 0.8413 0.2757
```

Computed properties:
Crystal system   tetragonal
Raw formation energy   -0.60 eV per atom


Entry 9:
This record from the Alexandria database describes Tc2C after structural relaxation. The functional is PBE-GGA.

Geometry as CIF:
```
data_Tc2C
_chemical_formula_sum 'Tc8 C4'
_cell_length_a 5.1955
_cell_length_b 5.1955
_cell_length_c 5.1955
_cell_angle_alpha 90.00
_cell_angle_beta 90.00
_cell_angle_gamma 90.00
_space_group_name_H-M_alt 'P 1'
_space_group_IT_number 1
_space_group_name_Hall 'P 1'
loop_
_atom_site_label
_atom_site_fract_x
_atom_site_fract_y
_atom_site_fract_z
Tc1 0.1551 0.1551 0.1551
Tc2 0.1551 0.3449 0.6551
Tc3 0.3449 0.6551 0.1551
Tc4 0.3449 0.8449 0.6551
Tc5 0.6551 0.1551 0.3449
Tc6 0.6551 0.3449 0.8449
Tc7 0.8449 0.6551 0.3449
Tc8 0.8449 0.8449 0.8449
C1 0.0000 0.0000 0.5000
C2 0.0000 0.5000 0.0000
C3 0.5000 0.0000 0.0000
C4 0.5000 0.5000 0.5000
```

Computed properties:
Crystal system   cubic
Distance to the lowest polymorph of the same formula   48 kJ/mol of formula units
ΔE_f   0.2418 eV/atom


Entry 10:
This record from the Alexandria database describes TlNiC2 after structural relaxation. The functional is PBE-GGA.

Geometry as CIF:
```
data_TlNiC2
_chemical_formula_sum 'Tl4 Ni4 C8'
_cell_length_a 5.0551
_cell_length_b 5.0551
_cell_length_c 9.0670
_cell_angle_alpha 90.00
_cell_angle_beta 90.00
_cell_angle_gamma 90.00
_space_group_name_H-M_alt 'P 1'
_space_group_IT_number 1
_space_group_name_Hall 'P 1'
loop_
_atom_site_label
_atom_site_fract_x
_atom_site_fract_y
_atom_site_fract_z
Tl1 0.0000 0.0000 0.0000
Tl2 0.0000 0.5000 0.2500
Tl3 0.5000 0.0000 0.7500
Tl4 0.5000 0.5000 0.5000
Ni1 0.0000 0.0000 0.5000
Ni2 0.0000 0.5000 0.7500
Ni3 0.5000 0.0000 0.2500
Ni4 0.5000 0.5000 0.0000
C1 0.1443 0.2500 0.6250
C2 0.2500 0.6443 0.8750
C3 0.2500 0.8557 0.3750
C4 0.3557 0.2500 0.1250
C5 0.6443 0.7500 0.1250
C6 0.7500 0.1443 0.3750
C7 0.7500 0.3557 0.8750
C8 0.8557 0.7500 0.6250
```

Computed properties:
Crystal system   tetragonal
Distance to the lowest polymorph of the same formula   0 kJ/mol of formula units
ΔE_f   1.4789 eV/atom